1.
# PBE P2WSe, relaxed
data_P2WSe
_chemical_formula_sum 'P2 W1 Se1'
_cell_length_a 3.475
_cell_length_b 4.662
_cell_length_c 4.381
_cell_angle_alpha 90.00
_cell_angle_beta 102.36
_cell_angle_gamma 90.00
_symmetry_space_group_name_H-M 'P 1 2/m 1'
_symmetry_Int_Tables_number 10
loop_
_symmetry_equiv_pos_as_xyz
'x,y,z'
'-x,-y,-z'
'-x,y,-z'
'x,-y,z'
loop_
_atom_site_label
_atom_site_fract_x
_atom_site_fract_y
_atom_site_fract_z
P1 0.204 0.000 0.336
W1 0.000 0.500 0.500
Se1 0.500 0.500 0.000
# * energy: -6.524 eV/atom
# * E_form (uncorrected): 6.69 kcal/mol of atoms



2.
# PBE Pm7Ir4Pb, relaxed
data_Pm7Ir4Pb
_chemical_formula_sum 'Pm14 Ir8 Pb2'
_cell_length_a 13.785
_cell_length_b 5.723
_cell_length_c 9.925
_cell_angle_alpha 90.00
_cell_angle_beta 125.66
_cell_angle_gamma 90.00
_symmetry_space_group_name_H-M 'C 1 2/m 1'
_symmetry_Int_Tables_number 12
loop_
_symmetry_equiv_pos_as_xyz
'x,y,z'
'-x,-y,-z'
'-x,y,-z'
'x,-y,z'
'x+1/2,y+1/2,z'
'-x+1/2,-y+1/2,-z'
'-x+1/2,y+1/2,-z'
'x+1/2,-y+1/2,z'
loop_
_atom_site_label
_atom_site_fract_x
_atom_site_fract_y
_atom_site_fract_z
Pm1 0.000 0.000 0.000
Pm2 0.074 0.500 0.372
Pm3 0.178 0.000 0.622
Pm4 0.210 0.500 0.878
Ir1 0.068 0.000 0.777
Ir2 0.205 0.000 0.339
Pb1 0.000 0.500 0.000
# * calculated formation energy: -369 meV/atom
# * energy: -6.403 eV/atom



3.
# PBE ZrRhS3, relaxed
data_ZrRhS3
_chemical_formula_sum 'Zr1 Rh1 S3'
_cell_length_a 4.940
_cell_length_b 4.940
_cell_length_c 4.940
_cell_angle_alpha 90.00
_cell_angle_beta 90.00
_cell_angle_gamma 90.00
_symmetry_space_group_name_H-M 'P m -3 m'
_symmetry_Int_Tables_number 221
_symmetry_space_group_name_Hall '-P 4 2 3'
loop_
_atom_site_label
_atom_site_fract_x
_atom_site_fract_y
_atom_site_fract_z
Zr1 0.000 0.000 0.000
Rh1 0.500 0.500 0.500
S1 0.000 0.000 0.500
# * energy: -5.571 eV/atom
# * E_form (uncorrected): 1.97 kcal/mol of atoms
# * ΔE to the lowest computed polymorph: 183 meV/atom



4.
# PBE BaReI2O, relaxed
data_BaReI2O
_chemical_formula_sum 'Ba1 Re1 I2 O1'
_cell_length_a 6.771
_cell_length_b 6.771
_cell_length_c 4.525
_cell_angle_alpha 90.00
_cell_angle_beta 90.00
_cell_angle_gamma 90.00
_symmetry_space_group_name_H-M 'P 4/m m m'
_symmetry_Int_Tables_number 123
_symmetry_space_group_name_Hall '-P 4 2'
loop_
_atom_site_label
_atom_site_fract_x
_atom_site_fract_y
_atom_site_fract_z
Ba1 0.000 0.000 0.000
Re1 0.500 0.500 0.500
I1 0.000 0.500 0.000
O1 0.000 0.000 0.500
# * energy: -3.961 eV/atom
# * E_form (uncorrected): 12.11 kcal/mol of atoms
# * ΔE to the lowest computed polymorph: 1177 meV/atom



5.
# PBE Nd4Sm5Dy2, relaxed
data_Nd4Sm5Dy2
_chemical_formula_sum 'Nd8 Sm10 Dy4'
_cell_length_a 24.326
_cell_length_b 3.569
_cell_length_c 8.789
_cell_angle_alpha 90.00
_cell_angle_beta 94.48
_cell_angle_gamma 90.00
_symmetry_space_group_name_H-M 'C 1 2/m 1'
_symmetry_Int_Tables_number 12
loop_
_symmetry_equiv_pos_as_xyz
'x,y,z'
'-x,-y,-z'
'-x,y,-z'
'x,-y,z'
'x+1/2,y+1/2,z'
'-x+1/2,-y+1/2,-z'
'-x+1/2,y+1/2,-z'
'x+1/2,-y+1/2,z'
loop_
_atom_site_label
_atom_site_fract_x
_atom_site_fract_y
_atom_site_fract_z
Nd1 0.040 0.000 0.345
Nd2 0.226 0.500 0.826
Sm1 0.000 0.500 0.000
Sm2 0.130 0.000 0.047
Sm3 0.184 0.000 0.475
Dy1 0.087 0.500 0.697
# * calculated formation energy: 98 meV/atom
# * energy: -4.617 eV/atom
# * ΔE to the lowest computed polymorph: 0 meV/atom



6.
# PBE PrErRh2, relaxed
data_PrErRh2
_chemical_formula_sum 'Pr1 Er1 Rh2'
_cell_length_a 3.432
_cell_length_b 3.432
_cell_length_c 7.171
_cell_angle_alpha 90.00
_cell_angle_beta 90.00
_cell_angle_gamma 90.00
_symmetry_space_group_name_H-M 'P 4/m m m'
_symmetry_Int_Tables_number 123
_symmetry_space_group_name_Hall '-P 4 2'
loop_
_atom_site_label
_atom_site_fract_x
_atom_site_fract_y
_atom_site_fract_z
Pr1 0.000 0.000 0.000
Er1 0.000 0.000 0.500
Rh1 0.500 0.500 0.269
# * calculated formation energy: -742 meV/atom
# * energy: -6.753 eV/atom



7.
# PBE Sr2BiS, relaxed
data_Sr2BiS
_chemical_formula_sum 'Sr6 Bi3 S3'
_cell_length_a 4.3227
_cell_length_b 4.3227
_cell_length_c 24.6194
_cell_angle_alpha 90.00
_cell_angle_beta 90.00
_cell_angle_gamma 120.00
_symmetry_space_group_name_H-M 'R -3 m'
_symmetry_Int_Tables_number 166
_symmetry_space_group_name_Hall '-R 3 2"'
loop_
_atom_site_label
_atom_site_fract_x
_atom_site_fract_y
_atom_site_fract_z
Sr1 0.0000 0.0000 0.2370
Bi1 0.0000 0.0000 0.0000
S1 0.0000 0.0000 0.5000
# * energy: -4.231 eV/atom
# * E_form (uncorrected): -32.02 kcal/mol of atoms
# * ΔE to the lowest computed polymorph: 0 meV/atom



8.
# PBE TaReSiRu, relaxed
data_TaReSiRu
_chemical_formula_sum 'Ta4 Re4 Si4 Ru4'
_cell_length_a 6.170
_cell_length_b 6.170
_cell_length_c 6.170
_cell_angle_alpha 90.00
_cell_angle_beta 90.00
_cell_angle_gamma 90.00
_symmetry_space_group_name_H-M 'F -4 3 m'
_symmetry_Int_Tables_number 216
_symmetry_space_group_name_Hall 'F -4 2 3'
loop_
_atom_site_label
_atom_site_fract_x
_atom_site_fract_y
_atom_site_fract_z
Ta1 0.000 0.000 0.000
Re1 0.250 0.250 0.250
Si1 0.000 0.000 0.500
Ru1 0.250 0.250 0.750
# * energy: -10.164 eV/atom
# * E_form (uncorrected): -9.55 kcal/mol of atoms



9.
# PBE Mg2BWS, relaxed
data_Mg2BWS
_chemical_formula_sum 'Mg2 B1 W1 S1'
_cell_length_a 5.041
_cell_length_b 5.041
_cell_length_c 3.566
_cell_angle_alpha 90.00
_cell_angle_beta 90.00
_cell_angle_gamma 90.00
_symmetry_space_group_name_H-M 'P 4/m m m'
_symmetry_Int_Tables_number 123
_symmetry_space_group_name_Hall '-P 4 2'
loop_
_atom_site_label
_atom_site_fract_x
_atom_site_fract_y
_atom_site_fract_z
Mg1 0.000 0.500 0.000
B1 0.000 0.000 0.500
W1 0.500 0.500 0.500
S1 0.000 0.000 0.000
# * energy: -4.107 eV/atom
# * E_form (uncorrected): 29.57 kcal/mol of atoms
# * ΔE to the lowest computed polymorph: 68 meV/atom



10.
# PBE SiAgS2O8, relaxed
data_SiAgS2O8
_chemical_formula_sum 'Si2 Ag2 S4 O16'
_cell_length_a 7.865
_cell_length_b 4.938
_cell_length_c 8.665
_cell_angle_alpha 90.00
_cell_angle_beta 91.29
_cell_angle_gamma 90.00
_symmetry_space_group_name_H-M 'C 1 2/m 1'
_symmetry_Int_Tables_number 12
loop_
_symmetry_equiv_pos_as_xyz
'x,y,z'
'-x,-y,-z'
'-x,y,-z'
'x,-y,z'
'x+1/2,y+1/2,z'
'-x+1/2,-y+1/2,-z'
'-x+1/2,y+1/2,-z'
'x+1/2,-y+1/2,z'
loop_
_atom_site_label
_atom_site_fract_x
_atom_site_fract_y
_atom_site_fract_z
Si1 0.000 0.000 0.000
Ag1 0.000 0.000 0.500
S1 0.145 0.500 0.825
O1 0.033 0.254 0.854
O2 0.210 0.500 0.672
O3 0.222 0.000 0.046
# * energy: -5.845 eV/atom
# * E_form (uncorrected): -26.80 kcal/mol of atoms



11.
# PBE Mg2Tc3, relaxed
data_Mg2Tc3
_chemical_formula_sum 'Mg4 Tc6'
_cell_length_a 2.852
_cell_length_b 3.904
_cell_length_c 14.876
_cell_angle_alpha 90.00
_cell_angle_beta 90.00
_cell_angle_gamma 90.00
_symmetry_space_group_name_H-M 'I m m m'
_symmetry_Int_Tables_number 71
_symmetry_space_group_name_Hall '-I 2 2'
loop_
_atom_site_label
_atom_site_fract_x
_atom_site_fract_y
_atom_site_fract_z
Mg1 0.000 0.000 0.190
Tc1 0.000 0.000 0.000
Tc2 0.000 0.000 0.416
# * calculated formation energy: 216 meV/atom
# * energy: -6.641 eV/atom
# * ΔE to the lowest computed polymorph: 84 meV/atom